Here is a relaxed structure of Ce6TlCo from Alexandria via LeMat-Bulk. Energies are from GGA-PBE.

Cell and atoms, written as POSCAR:
```
Ce6TlCo
1.0
6.171 1.054 0.000
2.479 6.607 0.000
1.240 3.304 5.367
Ce Tl Co
6 1 1
Direct
0.315 0.278 0.000
0.277 0.918 0.529
0.685 0.722 0.000
0.277 0.446 0.471
0.723 0.554 0.529
0.723 0.082 0.471
0.000 0.000 0.000
0.500 0.500 0.000
```

Output
Symmetry   C2/m, No. 12

Here is a relaxed structure of Ce7TlCo2 from Alexandria via LeMat-Bulk. Energies are from GGA-PBE.

Cell and atoms, written as POSCAR:
```
Ce7TlCo2
1.0
4.860 0.000 0.000
0.000 8.029 0.158
0.000 -3.400 7.275
Ce Co Tl
7 2 1
Direct
0.500 0.500 0.500
0.500 0.962 0.702
0.000 0.299 0.701
0.500 0.038 0.298
0.000 0.701 0.299
0.500 0.702 0.962
0.500 0.298 0.038
0.500 0.681 0.319
0.500 0.319 0.681
0.000 0.000 0.000
```

Output
Symmetry   Cmmm, No. 65

Here is a relaxed structure of Ce5Tl5Co2 from Alexandria via LeMat-Bulk. Energies are from GGA-PBE.

Cell and atoms, written as POSCAR:
```
Ce5Tl5Co2
1.0
4.995 0.000 0.000
-2.497 5.803 0.144
0.000 -2.421 10.975
Ce Tl Co
5 5 2
Direct
0.663 0.325 0.862
0.000 0.000 0.000
0.921 0.842 0.668
0.337 0.675 0.138
0.079 0.158 0.332
0.369 0.737 0.848
0.193 0.385 0.616
0.500 0.000 0.500
0.807 0.615 0.384
0.631 0.263 0.152
0.863 0.726 0.137
0.137 0.274 0.863
```

Output
Symmetry   C2/m, No. 12

Here is a relaxed structure of CeTlCo from Alexandria via LeMat-Bulk. Energies are from GGA-PBE.

Cell and atoms, written as POSCAR:
```
CeTlCo
1.0
4.610 0.000 0.000
2.305 3.992 0.000
2.305 1.331 3.764
Co Ce Tl
1 1 1
Direct
0.250 0.250 0.250
0.500 0.500 0.500
0.000 0.000 0.000
```

Output
Symmetry   F-43m, No. 216

Here is a relaxed structure of CeTlCo from Alexandria via LeMat-Bulk. Energies are from GGA-PBE.

Cell and atoms, written as POSCAR:
```
CeTlCo
1.0
-3.953 -3.110 1.150
3.241 -3.247 2.362
-0.701 2.537 4.450
Ce Co Tl
2 2 2
Direct
0.253 0.252 0.002
0.753 0.752 0.002
0.753 0.251 0.002
0.253 0.752 0.002
0.253 0.751 0.502
0.752 0.252 0.502
```

Output
Symmetry   P4/mmm, No. 123

Here is a relaxed structure of Ce4Tl3Co2 from Alexandria via LeMat-Bulk. Energies are from GGA-PBE.

Cell and atoms, written as POSCAR:
```
Ce4Tl3Co2
1.0
6.554 -0.161 -0.115
0.209 8.799 0.849
0.209 3.639 8.057
Tl Co Ce
6 4 8
Direct
0.250 0.454 0.546
0.370 0.230 0.952
0.870 0.952 0.230
0.630 0.770 0.048
0.130 0.048 0.770
0.750 0.546 0.454
0.313 0.997 0.515
0.813 0.515 0.997
0.187 0.485 0.003
0.687 0.003 0.485
0.591 0.337 0.219
0.091 0.219 0.337
0.126 0.690 0.134
0.874 0.310 0.866
0.909 0.781 0.663
0.626 0.134 0.690
0.409 0.663 0.781
0.374 0.866 0.310
```

Output
Symmetry   C2/c, No. 15

| no. | calculated formation energy (kJ per mole of atoms) |
| --- | --- |
| 1 | 3 |
| 2 | 1 |
| 3 | -17 |
| 4 | -4 |
| 5 | -23 |
| 6 | -18 |